Entry 1:
# PBE with a Hubbard U ScMn3O, relaxed
# Magnetization ... 11.8 μB/cell
# E ... -6.82 eV/atom
# D(E_F) ... 5.905 states/eV/f.u.
data_ScMn3O
_cell_length_a 4.419
_cell_length_b 4.419
_cell_length_c 4.419
_cell_angle_alpha 90.00
_cell_angle_beta 90.00
_cell_angle_gamma 90.00
_space_group_name_H-M_alt 'P m -3 m'
_space_group_IT_number 221
_space_group_name_Hall '-P 4 2 3'
loop_
_atom_site_label
_atom_site_type_symbol
_atom_site_fract_x
_atom_site_fract_y
_atom_site_fract_z
Sc1 Sc 0.000 0.000 0.000
Mn1 Mn 0.000 0.500 0.500
O1 O 0.500 0.500 0.500



Entry 2:
# PBE with a Hubbard U VO2F, relaxed
# Magnetization ... 0.0 μB/cell
# E ... -6.82 eV/atom
data_VO2F
_cell_length_a 9.289
_cell_length_b 5.186
_cell_length_c 5.255
_cell_angle_alpha 90.00
_cell_angle_beta 123.44
_cell_angle_gamma 90.00
_space_group_name_H-M_alt 'C 1 c 1'
_space_group_IT_number 9
loop_
_space_group_symop_operation_xyz
'x,y,z'
'x,-y,z+1/2'
'x+1/2,y+1/2,z'
'x+1/2,-y+1/2,z+1/2'
loop_
_atom_site_label
_atom_site_type_symbol
_atom_site_fract_x
_atom_site_fract_y
_atom_site_fract_z
V1 V 0.000 0.231 0.000
O1 O 0.205 0.307 0.207
O2 O 0.489 0.473 0.212
F1 F 0.428 0.028 0.709